A | A relaxed ReOs3S crystal, computed with PBE.

Cell and atoms, written as CIF:
```
data_ReOs3S
_symmetry_space_group_name_H-M 'P m -3 m'
_symmetry_Int_Tables_number 221
_symmetry_space_group_name_Hall '-P 4 2 3'
_cell_length_a 4.3051
_cell_length_b 4.3051
_cell_length_c 4.3051
_cell_angle_alpha 90.00
_cell_angle_beta 90.00
_cell_angle_gamma 90.00
loop_
_atom_site_label
_atom_site_type_symbol
_atom_site_fract_x
_atom_site_fract_y
_atom_site_fract_z
Re1 Re 0.0000 0.0000 0.0000
Os1 Os 0.0000 0.5000 0.5000
S1 S 0.5000 0.5000 0.5000
```



B | A relaxed ReOs3S crystal, computed with PBE.

Cell and atoms, written as CIF:
```
data_ReOs3S
_symmetry_space_group_name_H-M 'P m -3 m'
_symmetry_Int_Tables_number 221
_symmetry_space_group_name_Hall '-P 4 2 3'
_cell_length_a 4.7435
_cell_length_b 4.7435
_cell_length_c 4.7435
_cell_angle_alpha 90.00
_cell_angle_beta 90.00
_cell_angle_gamma 90.00
loop_
_atom_site_label
_atom_site_type_symbol
_atom_site_fract_x
_atom_site_fract_y
_atom_site_fract_z
Re1 Re 0.0000 0.0000 0.0000
Os1 Os 0.0000 0.0000 0.5000
S1 S 0.5000 0.5000 0.5000
```



Most stable structure, least stable structure: A, B.



A | A relaxed ReSb3Os crystal, computed with PBE.

Cell and atoms, written as CIF:
```
data_ReSb3Os
_symmetry_space_group_name_H-M 'P m -3 m'
_symmetry_Int_Tables_number 221
_symmetry_space_group_name_Hall '-P 4 2 3'
_cell_length_a 5.0803
_cell_length_b 5.0803
_cell_length_c 5.0803
_cell_angle_alpha 90.00
_cell_angle_beta 90.00
_cell_angle_gamma 90.00
loop_
_atom_site_label
_atom_site_type_symbol
_atom_site_fract_x
_atom_site_fract_y
_atom_site_fract_z
Re1 Re 0.0000 0.0000 0.0000
Sb1 Sb 0.0000 0.0000 0.5000
Os1 Os 0.5000 0.5000 0.5000
```



B | A relaxed ReSb3Os crystal, computed with PBE.

Cell and atoms, written as CIF:
```
data_ReSb3Os
_symmetry_space_group_name_H-M 'P m -3 m'
_symmetry_Int_Tables_number 221
_symmetry_space_group_name_Hall '-P 4 2 3'
_cell_length_a 5.0880
_cell_length_b 5.0880
_cell_length_c 5.0880
_cell_angle_alpha 90.00
_cell_angle_beta 90.00
_cell_angle_gamma 90.00
loop_
_atom_site_label
_atom_site_type_symbol
_atom_site_fract_x
_atom_site_fract_y
_atom_site_fract_z
Re1 Re 0.0000 0.0000 0.0000
Sb1 Sb 0.0000 0.5000 0.5000
Os1 Os 0.5000 0.5000 0.5000
```



Most stable structure, least stable structure: B, A.



A | A relaxed ReSb2TeOs crystal, computed with PBE.

Cell and atoms, written as CIF:
```
data_ReSb2TeOs
_symmetry_space_group_name_H-M 'P 4/m m m'
_symmetry_Int_Tables_number 123
_symmetry_space_group_name_Hall '-P 4 2'
_cell_length_a 5.0839
_cell_length_b 5.0839
_cell_length_c 5.1060
_cell_angle_alpha 90.00
_cell_angle_beta 90.00
_cell_angle_gamma 90.00
loop_
_atom_site_label
_atom_site_type_symbol
_atom_site_fract_x
_atom_site_fract_y
_atom_site_fract_z
Re1 Re 0.0000 0.0000 0.0000
Sb1 Sb 0.0000 0.5000 0.0000
Te1 Te 0.0000 0.0000 0.5000
Os1 Os 0.5000 0.5000 0.5000
```



B | A relaxed ReSb2TeOs crystal, computed with PBE.

Cell and atoms, written as CIF:
```
data_ReSb2TeOs
_symmetry_space_group_name_H-M 'P 4/m m m'
_symmetry_Int_Tables_number 123
_symmetry_space_group_name_Hall '-P 4 2'
_cell_length_a 4.9973
_cell_length_b 4.9973
_cell_length_c 5.4524
_cell_angle_alpha 90.00
_cell_angle_beta 90.00
_cell_angle_gamma 90.00
loop_
_atom_site_label
_atom_site_type_symbol
_atom_site_fract_x
_atom_site_fract_y
_atom_site_fract_z
Re1 Re 0.0000 0.0000 0.0000
Sb1 Sb 0.0000 0.5000 0.5000
Te1 Te 0.5000 0.5000 0.0000
Os1 Os 0.5000 0.5000 0.5000
```



Most stable structure, least stable structure: B, A.